Below is NdSi2Au2 after structural relaxation, with properties calculated at the PBE level.

* energy: -5.045 eV per atom
* M_tot: 0.00 μB/atom
* DOS(E_F): 0.28 states/eV per atom

Cell lengths 5.9961, 5.9961, 5.9961 Å; angles 137.68, 137.68, 61.40 degrees
Sites, in units of the cell vectors:
Nd: 0.0000 0.0000 0.0000
Si: 0.3866 0.3866 0.0000
Si: 0.6134 0.6134 0.0000
Au: 0.2500 0.7500 0.5000
Au: 0.7500 0.2500 0.5000